# CaLa3Sm3

An optimized crystal structure of CaLa3Sm3 (PBE-GGA, the Alexandria database).

Calculated values
* calculated volume: 37.69 Å³ per atom
* magnetization: 0.00 μB/cell
* energy of formation from the pure elements: 1.36 eV/f.u.
* E: -59.15 eV/cell

abc: 8.9103 8.9118 9.2368
angles: 118.83 90.01 119.99
Space group P-1 (No. 2)
Symmetry-distinct sites (fractional):
Ca1 0.1550 0.3107 0.4657
La1 0.0695 0.6404 0.8641
La2 0.2235 0.2925 0.8635
La3 0.4289 0.2059 0.1369
Sm1 0.2176 0.8913 0.3242
Sm2 0.3273 0.8947 0.6769
Sm3 0.4325 0.6505 0.3237